1.
# Si2TcTe

A geometry-optimized Si2TcTe structure (PBE-GGA, the Alexandria database).

Cell lengths 7.896, 3.226, 6.285 Å; angles 90.00, 108.99, 90.00 degrees
Space group Cm (No. 8)
One atom of each set of equivalent atoms:
Si1 0.000 0.000 0.000 [2 per cell]
Si2 0.239 0.000 0.837 [2 per cell]
Tc1 0.486 0.000 0.681 [2 per cell]
Te1 0.211 0.500 0.410 [2 per cell]

**Size of the total moment**: 0.0 μB/f.u.
**E**: -6.0060 eV/atom

=====

2.
# Cu3SiAg

A geometry-optimized Cu3SiAg structure (PBE-GGA, the Alexandria database).

Cell lengths 4.676, 4.676, 4.676 Å; angles 90.00, 90.00, 90.00 degrees
Space group Pm-3m (No. 221)
One atom of each set of equivalent atoms:
Cu1 0.000 0.000 0.500 [3 per cell]
Si1 0.500 0.500 0.500 [1 per cell]
Ag1 0.000 0.000 0.000 [1 per cell]

**Size of the total moment**: 0.0 μB/f.u.
**Relative energy among the computed polymorphs**: 362.2 kJ/mol of formula units
**E**: -2.9443 eV/atom

=====

3.
# Ca2Er2Pt3

A geometry-optimized Ca2Er2Pt3 structure (PBE-GGA, the Alexandria database).

Cell lengths 4.8452, 4.8452, 24.4334 Å; angles 90.00, 90.00, 120.00 degrees
Space group R-3m (No. 166, hexagonal axes)
One atom of each set of equivalent atoms:
Ca1 0.0000 0.0000 0.1261 [6 per cell]
Er1 0.0000 0.0000 0.3753 [6 per cell]
Pt1 0.0000 0.0000 0.0000 [3 per cell]
Pt2 0.0000 0.0000 0.2564 [6 per cell]

**ΔE_f**: -1.04 eV/atom
**Size of the total moment**: 0.0 μB/f.u.
**E**: -5.5082 eV/atom

=====

4.
# NdSc2Se3

A geometry-optimized NdSc2Se3 structure (PBE-GGA, the Alexandria database).

Cell lengths 3.956, 5.703, 12.074 Å; angles 90.00, 90.00, 90.00 degrees
Space group Immm (No. 71)
One atom of each set of equivalent atoms:
Nd1 0.000 0.000 0.000 [2 per cell]
Sc1 0.000 0.000 0.344 [4 per cell]
Se1 0.000 0.500 0.000 [2 per cell]
Se2 0.000 0.500 0.315 [4 per cell]

**Size of the total moment**: 0.0 μB/f.u.
**Relative energy among the computed polymorphs**: 0.0 kJ/mol of formula units
**E**: -6.2858 eV/atom

=====

5.
# BiHOF2

A geometry-optimized BiHOF2 structure (PBE-GGA, the Alexandria database).

Cell lengths 3.483, 3.483, 4.079 Å; angles 90.00, 90.00, 90.00 degrees
Space group P4/mmm (No. 123)
One atom of each set of equivalent atoms:
Bi1 0.000 0.000 0.000 [1 per cell]
H1 0.500 0.500 0.500 [1 per cell]
O1 0.500 0.500 0.000 [1 per cell]
F1 0.000 0.500 0.500 [2 per cell]

**Size of the total moment**: 0.0 μB/f.u.
**Relative energy among the computed polymorphs**: 0.0 kJ/mol of formula units
**E**: -4.2339 eV/atom

=====

6.
# PrDyTmAg

A geometry-optimized PrDyTmAg structure (PBE-GGA, the Alexandria database).

Cell lengths 3.640, 3.640, 8.610 Å; angles 90.00, 90.00, 90.00 degrees
Space group P4mm (No. 99)
One atom of each set of equivalent atoms:
Pr1 0.000 0.000 0.000 [1 per cell]
Dy1 0.500 0.500 0.704 [1 per cell]
Tm1 0.500 0.500 0.293 [1 per cell]
Ag1 0.000 0.000 0.492 [1 per cell]

**ΔE_f**: -0.14 eV/atom
**Size of the total moment**: 0.0 μB/f.u.
**Relative energy among the computed polymorphs**: 0.0 kJ/mol of formula units
**E**: -4.3112 eV/atom

=====

7.
# Sc2AlH

A geometry-optimized Sc2AlH structure (PBE-GGA, the Alexandria database).

Cell lengths 2.997, 3.239, 6.949 Å; angles 90.00, 90.00, 90.00 degrees
Space group Pmmm (No. 47)
One atom of each set of equivalent atoms:
Sc1 0.000 0.000 0.225 [2 per cell]
Al1 0.500 0.500 0.500 [1 per cell]
H1 0.500 0.000 0.000 [1 per cell]

**Size of the total moment**: 0.0 μB/f.u.
**Relative energy among the computed polymorphs**: 13.2 kJ/mol of formula units
**E**: -5.2149 eV/atom

=====

8.
# CuReRu2

A geometry-optimized CuReRu2 structure (PBE-GGA, the Alexandria database).

Cell lengths 2.762, 2.762, 7.275 Å; angles 90.00, 90.00, 90.00 degrees
Space group P4/mmm (No. 123)
One atom of each set of equivalent atoms:
Cu1 0.000 0.000 0.000 [1 per cell]
Re1 0.000 0.000 0.500 [1 per cell]
Ru1 0.500 0.500 0.246 [2 per cell]

**ΔE_f**: 0.16 eV/atom
**Size of the total moment**: 0.0 μB/f.u.
**Relative energy among the computed polymorphs**: 14.5 kJ/mol of formula units
**E**: -8.6105 eV/atom

=====

Record-wise D(E_F) values, in states/eV/f.u.: 1.756, 1.947, 5.678, 3.442, 0.000, 5.744, 3.025, 5.346